1.
First-principles (PBE-GGA) data for an optimized crystal structure of NaCrCo3, as listed in Alexandria via LeMat-Bulk.

Computed properties:
The formation energy from the elements comes out at 1.06 eV/atom. The value obtained for the total energy is -5.391 eV per atom. The crystal system is cubic. As for the density of states at the Fermi level: 0.993 states/eV per atom.

Cell: 4.274 4.274 4.274 Å, 90.00 90.00 90.00°
Space group Pm-3m (No. 221)
Inequivalent atoms, fractional coordinates:
Na  0.000  0.000  0.000
Cr  0.500  0.500  0.500
Co  0.000  0.500  0.500

2.
First-principles (PBE-GGA) data for an optimized crystal structure of Na2CrCo, as listed in Alexandria via LeMat-Bulk.

Computed properties:
The formation energy from the elements comes out at 1.14 eV/atom. The value obtained for the total energy is -3.697 eV per atom. The crystal system is cubic. As for the density of states at the Fermi level: 2.629 states/eV per atom.

Cell: 6.925 6.925 6.925 Å, 90.00 90.00 90.00°
Space group Fm-3m (No. 225)
Inequivalent atoms, fractional coordinates:
Na  0.250  0.250  0.250
Cr  0.000  0.000  0.000
Co  0.000  0.000  0.500

3.
First-principles (PBE-GGA) data for an optimized crystal structure of NaCr2Co2, as listed in Alexandria via LeMat-Bulk.

Computed properties:
The formation energy from the elements comes out at 0.41 eV/atom. The value obtained for the total energy is -6.547 eV per atom. The crystal system is tetragonal. As for the density of states at the Fermi level: 1.109 states/eV per atom.

Cell: 7.248 7.248 2.455 Å, 90.00 90.00 90.00°
Space group P4/mbm (No. 127)
Inequivalent atoms, fractional coordinates:
Na  0.000  0.000  0.000
Cr  0.117  0.383  0.000
Co  0.168  0.668  0.500

4.
First-principles (PBE-GGA) data for an optimized crystal structure of Na2NbCrCo, as listed in Alexandria via LeMat-Bulk.

Computed properties:
The formation energy from the elements comes out at 1.62 eV/atom. The value obtained for the total energy is -4.265 eV per atom. The crystal system is tetragonal. As for the density of states at the Fermi level: 1.031 states/eV per atom.

Cell: 5.701 5.701 4.357 Å, 90.00 90.00 90.00°
Space group P4/mmm (No. 123)
Inequivalent atoms, fractional coordinates:
Na  0.000  0.500  0.000
Nb  0.000  0.000  0.000
Cr  0.500  0.500  0.500
Co  0.000  0.000  0.500

5.
First-principles (PBE-GGA) data for an optimized crystal structure of NaNbCrCo2, as listed in Alexandria via LeMat-Bulk.

Computed properties:
The formation energy from the elements comes out at 1.27 eV/atom. The value obtained for the total energy is -5.779 eV per atom. The crystal system is tetragonal. As for the density of states at the Fermi level: 0.762 states/eV per atom.

Cell: 4.580 4.580 4.811 Å, 90.00 90.00 90.00°
Space group P4/mmm (No. 123)
Inequivalent atoms, fractional coordinates:
Na  0.000  0.000  0.000
Nb  0.500  0.500  0.500
Cr  0.500  0.500  0.000
Co  0.000  0.500  0.500

formation energy from the elements of number 4 (Na2NbCrCo)?
1.62 eV/atom

Which formula does entry 2 have?
Na2CrCo